1.
Computed, not measured: an optimized crystal structure of Pm6PrYEr2 at the PBE level of DFT.

## Properties
Its formation energy is 11.1 kJ per mole of atoms. The total magnetization is 0.0 μB/f.u.

Cell and atoms, written as POSCAR:
```
Pm6PrYEr2
1.0
4.617 -7.651 0.000
4.617 7.651 0.000
-1.318 0.000 9.638
Pm Pr Y Er
12 2 2 4
direct
0.020 0.567 0.183
0.115 0.758 0.554
0.242 0.885 0.946
0.293 0.506 0.379
0.433 0.980 0.317
0.494 0.707 0.121
0.506 0.293 0.879
0.567 0.020 0.683
0.707 0.494 0.621
0.758 0.115 0.054
0.885 0.242 0.446
0.980 0.433 0.817
0.407 0.593 0.750
0.593 0.407 0.250
0.028 0.972 0.250
0.972 0.028 0.750
0.196 0.296 0.045
0.296 0.196 0.545
0.704 0.804 0.455
0.804 0.704 0.955
```

=====

2.
Computed, not measured: an optimized crystal structure of PmPrY2Er5 at the PBE level of DFT.

## Properties
Its formation energy is 27.8 kJ per mole of atoms. The total magnetization is 0.0 μB/f.u.

Cell and atoms, written as POSCAR:
```
PmPrY2Er5
1.0
-4.388 4.388 7.561
4.388 -4.388 7.561
4.388 4.388 -7.561
Pm Pr Y Er
2 2 4 10
direct
0.250 0.250 0.000
0.750 0.750 0.000
0.250 0.750 0.500
0.750 0.250 0.500
0.117 0.617 0.733
0.383 0.117 0.500
0.617 0.883 0.500
0.883 0.383 0.267
0.000 0.000 0.000
0.069 0.160 0.500
0.160 0.660 0.091
0.340 0.431 0.500
0.431 0.931 0.091
0.500 0.500 0.000
0.569 0.069 0.909
0.660 0.569 0.500
0.840 0.340 0.909
0.931 0.840 0.500
```

=====

3.
Computed, not measured: an optimized crystal structure of Pm2PrY6Er2 at the PBE level of DFT.

## Properties
Its formation energy is 14.8 kJ per mole of atoms. The total magnetization is 0.0 μB/f.u.

Cell and atoms, written as POSCAR:
```
Pm2PrY6Er2
1.0
2.856 -6.028 0.000
2.856 6.028 0.000
-0.028 0.000 10.697
Pm Pr Y Er
2 1 6 2
direct
0.135 0.865 0.000
0.865 0.135 0.000
0.500 0.500 0.500
0.002 0.002 0.289
0.344 0.653 0.789
0.347 0.656 0.211
0.653 0.344 0.789
0.656 0.347 0.211
0.998 0.998 0.711
0.201 0.799 0.500
0.799 0.201 0.500
```

=====

4.
Computed, not measured: an optimized crystal structure of Pm6Pr2YEr at the PBE level of DFT.

## Properties
Its formation energy is 10.9 kJ per mole of atoms. The total magnetization is 0.0 μB/f.u.

Cell and atoms, written as POSCAR:
```
Pm6Pr2YEr
1.0
4.599 -7.718 0.000
4.599 7.718 0.000
-1.422 0.000 9.730
Pm Pr Y Er
12 4 2 2
direct
0.018 0.575 0.190
0.126 0.752 0.555
0.248 0.874 0.945
0.290 0.499 0.381
0.425 0.982 0.310
0.499 0.290 0.881
0.501 0.710 0.119
0.575 0.018 0.690
0.710 0.501 0.619
0.752 0.126 0.055
0.874 0.248 0.445
0.982 0.425 0.810
0.195 0.301 0.042
0.301 0.195 0.542
0.699 0.805 0.458
0.805 0.699 0.958
0.019 0.981 0.250
0.981 0.019 0.750
0.408 0.592 0.750
0.592 0.408 0.250
```

=====

5.
Computed, not measured: an optimized crystal structure of Pm2PrYEr5 at the PBE level of DFT.

## Properties
Its formation energy is 25.3 kJ per mole of atoms. The total magnetization is 0.0 μB/f.u.

Cell and atoms, written as POSCAR:
```
Pm2PrYEr5
1.0
-4.379 4.379 7.645
4.379 -4.379 7.645
4.379 4.379 -7.645
Pm Pr Y Er
4 2 2 10
direct
0.116 0.616 0.731
0.384 0.116 0.500
0.616 0.884 0.500
0.884 0.384 0.269
0.250 0.250 0.000
0.750 0.750 0.000
0.250 0.750 0.500
0.750 0.250 0.500
0.000 0.000 0.000
0.074 0.154 0.500
0.154 0.654 0.080
0.346 0.426 0.500
0.426 0.926 0.080
0.500 0.500 0.000
0.574 0.074 0.920
0.654 0.574 0.500
0.846 0.346 0.920
0.926 0.846 0.500
```

=====

6.
Computed, not measured: an optimized crystal structure of PmPr2Y5Er at the PBE level of DFT.

## Properties
Its formation energy is 24.4 kJ per mole of atoms. The total magnetization is 0.0 μB/f.u.

Cell and atoms, written as POSCAR:
```
PmPr2Y5Er
1.0
-4.376 4.376 7.847
4.376 -4.376 7.847
4.376 4.376 -7.847
Pm Pr Y Er
2 4 10 2
direct
0.250 0.250 0.000
0.750 0.750 0.000
0.117 0.617 0.735
0.383 0.117 0.500
0.617 0.883 0.500
0.883 0.383 0.265
0.000 0.000 0.000
0.072 0.151 0.500
0.151 0.651 0.079
0.349 0.428 0.500
0.428 0.928 0.079
0.500 0.500 0.000
0.572 0.072 0.921
0.651 0.572 0.500
0.849 0.349 0.921
0.928 0.849 0.500
0.250 0.750 0.500
0.750 0.250 0.500
```

=====

7.
Computed, not measured: an optimized crystal structure of Pm2PrYEr at the PBE level of DFT.

## Properties
Its formation energy is 38.4 kJ per mole of atoms. The total magnetization is 0.0 μB/f.u.

Cell and atoms, written as POSCAR:
```
Pm2PrYEr
1.0
4.234 -5.845 0.000
4.234 5.845 0.000
0.000 0.000 7.290
Pm Pr Y Er
4 2 2 2
direct
0.191 0.191 0.000
0.191 0.191 0.500
0.809 0.809 0.000
0.809 0.809 0.500
0.225 0.775 0.750
0.775 0.225 0.250
0.493 0.507 0.750
0.507 0.493 0.250
0.229 0.771 0.250
0.771 0.229 0.750
```

=====

8.
Computed, not measured: an optimized crystal structure of Pm2Pr4Y2Er at the PBE level of DFT.

## Properties
Its formation energy is 2.0 kJ per mole of atoms. The total magnetization is 0.0 μB/f.u.

Cell and atoms, written as POSCAR:
```
Pm2Pr4Y2Er
1.0
7.759 -2.584 0.000
7.759 2.584 0.000
-2.592 0.000 7.702
Pm Pr Y Er
2 4 2 1
direct
0.111 0.111 0.169
0.889 0.889 0.831
0.222 0.222 0.832
0.445 0.445 0.169
0.555 0.555 0.831
0.778 0.778 0.168
0.334 0.334 0.500
0.666 0.666 0.500
0.000 0.000 0.500
```

=====

9.
Computed, not measured: an optimized crystal structure of PmPr2YEr2 at the PBE level of DFT.

## Properties
Its formation energy is 5.9 kJ per mole of atoms. The total magnetization is 0.0 μB/f.u.

Cell and atoms, written as POSCAR:
```
PmPr2YEr2
1.0
5.704 0.000 0.000
0.000 9.866 0.000
0.000 0.000 7.098
Pm Pr Y Er
2 4 2 4
direct
0.000 0.159 0.000
0.000 0.841 0.500
0.000 0.500 0.250
0.000 0.500 0.750
0.500 0.324 0.501
0.500 0.676 0.001
0.500 0.000 0.250
0.500 0.000 0.750
0.000 0.168 0.500
0.000 0.832 0.000
0.500 0.336 0.001
0.500 0.664 0.501
```

=====

10.
Computed, not measured: an optimized crystal structure of Pm5Pr2YEr at the PBE level of DFT.

## Properties
Its formation energy is 25.9 kJ per mole of atoms. The total magnetization is 0.0 μB/f.u.

Cell and atoms, written as POSCAR:
```
Pm5Pr2YEr
1.0
-4.331 4.331 8.296
4.331 -4.331 8.296
4.331 4.331 -8.296
Pm Pr Y Er
10 4 2 2
direct
0.000 0.000 0.000
0.074 0.574 0.935
0.140 0.074 0.500
0.360 0.860 0.935
0.426 0.360 0.500
0.500 0.500 0.000
0.574 0.640 0.500
0.640 0.140 0.065
0.860 0.926 0.500
0.926 0.426 0.065
0.121 0.379 0.500
0.379 0.879 0.257
0.621 0.121 0.743
0.879 0.621 0.500
0.250 0.250 0.000
0.750 0.750 0.000
0.250 0.750 0.500
0.750 0.250 0.500
```

=====

11.
Computed, not measured: an optimized crystal structure of Pm2Pr2YEr2 at the PBE level of DFT.

## Properties
Its formation energy is 11.9 kJ per mole of atoms. The total magnetization is 0.0 μB/f.u.

Cell and atoms, written as POSCAR:
```
Pm2Pr2YEr2
1.0
2.874 1.660 8.253
-2.874 1.660 8.253
0.000 -3.319 8.253
Pm Pr Y Er
2 2 1 2
direct
0.216 0.216 0.216
0.784 0.784 0.784
0.361 0.361 0.361
0.639 0.639 0.639
0.500 0.500 0.500
0.072 0.072 0.072
0.928 0.928 0.928
```

=====

12.
Computed, not measured: an optimized crystal structure of PmPr2YEr at the PBE level of DFT.

## Properties
Its formation energy is 33.4 kJ per mole of atoms. The total magnetization is 0.0 μB/f.u.

Cell and atoms, written as POSCAR:
```
PmPr2YEr
1.0
3.415 -4.727 0.000
3.415 4.727 0.000
0.000 0.000 11.231
Pm Pr Y Er
2 4 2 2
direct
0.067 0.933 0.750
0.933 0.067 0.250
0.251 0.251 0.000
0.251 0.251 0.500
0.749 0.749 0.000
0.749 0.749 0.500
0.276 0.724 0.250
0.724 0.276 0.750
0.383 0.617 0.750
0.617 0.383 0.250
```